No. 1
A plane-wave DFT calculation with meta-GGA SCAN was carried out for LaTeP2 at its PBEsol-relaxed geometry.

- ΔE_f (raw): -50 kJ per mole of atoms
- Size of the total moment: 0.000 μB/f.u.
- Volume: 89 Å³/f.u.

Lattice parameters (Å, degrees): 3.975 5.283 8.448 90.00 90.00 90.00
Space group Immm (No. 71)
Inequivalent atoms, fractional coordinates:
La  0.000  0.000  0.000 x2
Te  0.000  0.000  0.500 x2
P  0.000  0.500  0.217 x4

---

No. 2
A plane-wave DFT calculation with meta-GGA SCAN was carried out for SrNiW2 at its PBEsol-relaxed geometry.

- Energy above the most stable polymorph in this dataset: 258 meV/atom
- DFT formation energy: 3.62 eV per formula unit
- Size of the total moment: 0.000 μB/f.u.
- Volume: 68 Å³/f.u.

Lattice parameters (Å, degrees): 3.689 4.026 9.198 90.00 90.00 90.00
Space group Cmmm (No. 65)
Inequivalent atoms, fractional coordinates:
Sr  0.000  0.000  0.000 x2
Ni  0.000  0.000  0.500 x2
W  0.000  0.500  0.306 x4

---

No. 3
A plane-wave DFT calculation with meta-GGA SCAN was carried out for LiCeZn2 at its PBEsol-relaxed geometry.

- DFT formation energy: -0.85 eV per formula unit
- Size of the total moment: 0.804 μB/f.u.
- Volume: 77 Å³/f.u.

Lattice parameters (Å, degrees): 6.757 6.757 6.757 90.00 90.00 90.00
Space group Fm-3m (No. 225)
Inequivalent atoms, fractional coordinates:
Li  0.000  0.000  0.000 x4
Ce  0.000  0.000  0.500 x4
Zn  0.250  0.250  0.250 x8

---

No. 4
A plane-wave DFT calculation with meta-GGA SCAN was carried out for HgBRh3 at its PBEsol-relaxed geometry.

- DFT formation energy: -0.41 eV per formula unit
- Size of the total moment: 0.000 μB/f.u.
- Volume: 69 Å³/f.u.

Lattice parameters (Å, degrees): 4.096 4.096 4.096 90.00 90.00 90.00
Space group Pm-3m (No. 221)
Inequivalent atoms, fractional coordinates:
Hg  0.000  0.000  0.000 x1
B  0.500  0.500  0.500 x1
Rh  0.000  0.500  0.500 x3

---

No. 5
A plane-wave DFT calculation with meta-GGA SCAN was carried out for Be5Ni3 at its PBEsol-relaxed geometry.

- DFT formation energy: -3.41 eV per formula unit
- Size of the total moment: 0.015 μB/f.u.
- Volume: 68 Å³/f.u.

Lattice parameters (Å, degrees): 5.176 7.233 3.628 90.00 90.00 90.00
Space group Cmmm (No. 65)
Inequivalent atoms, fractional coordinates:
Be  0.000  0.000  0.000 x2
Be  0.243  0.500  0.500 x4
Be  0.250  0.250  0.000 x4
Ni  0.000  0.244  0.500 x4
Ni  0.000  0.500  0.000 x2

---

No. 6
A plane-wave DFT calculation with meta-GGA SCAN was carried out for ZrMn2Tc at its PBEsol-relaxed geometry.

- Energy above the most stable polymorph in this dataset: 0 meV/atom
- DFT formation energy: 0.21 eV per formula unit
- Size of the total moment: 4.493 μB/f.u.
- Volume: 57 Å³/f.u.

Lattice parameters (Å, degrees): 2.749 3.980 5.318 90.00 103.20 90.00
Space group P2/m (No. 10)
Inequivalent atoms, fractional coordinates:
Zr  0.000  0.000  0.000 x1
Mn  0.252  0.500  0.712 x2
Tc  0.500  0.000  0.500 x1